A plane-wave DFT calculation with PBE was carried out for an optimized crystal structure of UNiS2.

Cell and atoms, written as CIF:
```
data_UNiS2
_cell_length_a 6.789
_cell_length_b 3.649
_cell_length_c 11.505
_cell_angle_alpha 90.00
_cell_angle_beta 90.00
_cell_angle_gamma 90.00
_symmetry_space_group_name_H-M 'P n m a'
_symmetry_Int_Tables_number 62
_symmetry_space_group_name_Hall '-P 2ac 2n'
loop_
_atom_site_label
_atom_site_type_symbol
_atom_site_fract_x
_atom_site_fract_y
_atom_site_fract_z
_atom_site_occupancy
U1 U 0.142 0.250 0.142 1
Ni1 Ni 0.248 0.750 0.367 1
S1 S 0.054 0.250 0.713 1
S2 S 0.211 0.750 0.969 1
```

Results
Energy above the lowest structure with this stoichiometry (eV/f.u.): 0.00
Total magnetization (μB per cell): 8.0
E_tot (eV/atom): -7.4343
Calculated density (g/cm³): 8.41
Density of states at the Fermi level (states/eV/cell): 19.33
V (Å³/atom): 17.82
Formation energy from raw total energies (meV/atom): -1103

A plane-wave DFT calculation with PBE was carried out for an optimized crystal structure of U8NiS17.

Cell and atoms, written as CIF:
```
data_U8NiS17
_cell_length_a 13.173
_cell_length_b 8.263
_cell_length_c 10.271
_cell_angle_alpha 90.00
_cell_angle_beta 101.89
_cell_angle_gamma 90.00
_symmetry_space_group_name_H-M 'C 1 2/m 1'
_symmetry_Int_Tables_number 12
_symmetry_space_group_name_Hall '-C 2y'
loop_
_atom_site_label
_atom_site_type_symbol
_atom_site_fract_x
_atom_site_fract_y
_atom_site_fract_z
_atom_site_occupancy
U1 U 0.061 0.242 0.203 1
U2 U 0.184 0.500 0.517 1
U3 U 0.202 0.000 0.953 1
Ni1 Ni 0.000 0.000 0.500 1
S1 S 0.000 0.000 0.000 1
S2 S 0.020 0.500 0.670 1
S3 S 0.054 0.000 0.723 1
S4 S 0.127 0.307 0.965 1
S5 S 0.134 0.189 0.470 1
S6 S 0.201 0.500 0.258 1
S7 S 0.214 0.000 0.220 1
```

Results
Total magnetization (μB per cell): 29.2
E_tot (eV/atom): -7.7334
Calculated density (g/cm³): 7.61
Density of states at the Fermi level (states/eV/cell): 83.34
V (Å³/atom): 21.04
Formation energy from raw total energies (meV/atom): -1339

A plane-wave DFT calculation with PBE was carried out for an optimized crystal structure of UNiS.

Cell and atoms, written as CIF:
```
data_UNiS
_cell_length_a 3.417
_cell_length_b 3.417
_cell_length_c 8.613
_cell_angle_alpha 90.00
_cell_angle_beta 90.00
_cell_angle_gamma 90.00
_symmetry_space_group_name_H-M 'I 4 m m'
_symmetry_Int_Tables_number 107
_symmetry_space_group_name_Hall 'I 4 -2'
loop_
_atom_site_label
_atom_site_type_symbol
_atom_site_fract_x
_atom_site_fract_y
_atom_site_fract_z
_atom_site_occupancy
U1 U 0.000 0.000 0.000 1
Ni1 Ni 0.000 0.000 0.665 1
S1 S 0.000 0.000 0.326 1
```

Results
Energy above the lowest structure with this stoichiometry (eV/f.u.): 0.57
Total magnetization (μB per cell): 3.8
E_tot (eV/atom): -7.5693
Calculated density (g/cm³): 10.86
Density of states at the Fermi level (states/eV/cell): 8.54
V (Å³/atom): 16.76
Formation energy from raw total energies (meV/atom): -504

A plane-wave DFT calculation with PBE was carried out for an optimized crystal structure of UNiS2.

Cell and atoms, written as CIF:
```
data_UNiS2
_cell_length_a 4.0952
_cell_length_b 4.0952
_cell_length_c 20.4772
_cell_angle_alpha 90.00
_cell_angle_beta 90.00
_cell_angle_gamma 120.00
_symmetry_space_group_name_H-M 'R -3 m'
_symmetry_Int_Tables_number 166
_symmetry_space_group_name_Hall '-R 3 2"'
loop_
_atom_site_label
_atom_site_type_symbol
_atom_site_fract_x
_atom_site_fract_y
_atom_site_fract_z
_atom_site_occupancy
U1 U 0.0000 0.0000 0.0000 1
Ni1 Ni 0.0000 0.0000 0.5000 1
S1 S 0.0000 0.0000 0.3985 1
```

Results
Energy above the lowest structure with this stoichiometry (eV/f.u.): 1.53
Total magnetization (μB per cell): 6.0
E_tot (eV/atom): -7.0518
Calculated density (g/cm³): 6.04
Density of states at the Fermi level (states/eV/cell): 20.24
V (Å³/atom): 24.78
Formation energy from raw total energies (meV/atom): -721

A plane-wave DFT calculation with PBE was carried out for an optimized crystal structure of UNiS2.

Cell and atoms, written as CIF:
```
data_UNiS2
_cell_length_a 3.8354
_cell_length_b 3.8354
_cell_length_c 20.6874
_cell_angle_alpha 90.00
_cell_angle_beta 90.00
_cell_angle_gamma 120.00
_symmetry_space_group_name_H-M 'R 3 m'
_symmetry_Int_Tables_number 160
_symmetry_space_group_name_Hall 'R 3 -2"'
loop_
_atom_site_label
_atom_site_type_symbol
_atom_site_fract_x
_atom_site_fract_y
_atom_site_fract_z
_atom_site_occupancy
U1 U 0.0000 0.0000 0.0000 1
Ni1 Ni 0.0000 0.0000 0.2476 1
S1 S 0.0000 0.0000 0.5737 1
S2 S 0.0000 0.0000 0.7405 1
```

Results
Energy above the lowest structure with this stoichiometry (eV/f.u.): 0.87
Total magnetization (μB per cell): 6.1
E_tot (eV/atom): -7.2175
Calculated density (g/cm³): 6.82
Density of states at the Fermi level (states/eV/cell): 18.05
V (Å³/atom): 21.96
Formation energy from raw total energies (meV/atom): -886

A plane-wave DFT calculation with PBE was carried out for an optimized crystal structure of UNiS.

Cell and atoms, written as CIF:
```
data_UNiS
_cell_length_a 3.8084
_cell_length_b 3.8084
_cell_length_c 3.9022
_cell_angle_alpha 90.00
_cell_angle_beta 90.00
_cell_angle_gamma 120.00
_symmetry_space_group_name_H-M 'P -6 m 2'
_symmetry_Int_Tables_number 187
_symmetry_space_group_name_Hall 'P -6 2'
loop_
_atom_site_label
_atom_site_type_symbol
_atom_site_fract_x
_atom_site_fract_y
_atom_site_fract_z
_atom_site_occupancy
U1 U 0.0000 0.0000 0.0000 1
Ni1 Ni 0.6667 0.3333 0.5000 1
S1 S 0.3333 0.6667 0.5000 1
```

Results
Energy above the lowest structure with this stoichiometry (eV/f.u.): 0.00
Total magnetization (μB per cell): 2.1
E_tot (eV/atom): -7.7598
Calculated density (g/cm³): 11.14
Density of states at the Fermi level (states/eV/cell): 7.13
V (Å³/atom): 16.34
Formation energy from raw total energies (meV/atom): -694

A plane-wave DFT calculation with PBE was carried out for an optimized crystal structure of U5Ni2S12.

Cell and atoms, written as CIF:
```
data_U5Ni2S12
_cell_length_a 14.896
_cell_length_b 6.784
_cell_length_c 8.333
_cell_angle_alpha 90.00
_cell_angle_beta 106.08
_cell_angle_gamma 90.00
_symmetry_space_group_name_H-M 'C 1 2/m 1'
_symmetry_Int_Tables_number 12
_symmetry_space_group_name_Hall '-C 2y'
loop_
_atom_site_label
_atom_site_type_symbol
_atom_site_fract_x
_atom_site_fract_y
_atom_site_fract_z
_atom_site_occupancy
U1 U 0.000 0.000 0.000 1
U2 U 0.181 0.500 0.350 1
U3 U 0.193 0.500 0.843 1
Ni1 Ni 0.000 0.251 0.500 1
S1 S 0.003 0.000 0.302 1
S2 S 0.003 0.500 0.712 1
S3 S 0.151 0.248 0.072 1
S4 S 0.168 0.246 0.590 1
```

Results
Total magnetization (μB per cell): 12.5
E_tot (eV/atom): -7.2751
Calculated density (g/cm³): 6.95
Density of states at the Fermi level (states/eV/cell): 68.26
V (Å³/atom): 21.29
Formation energy from raw total energies (meV/atom): -1089

A plane-wave DFT calculation with PBE was carried out for an optimized crystal structure of U3NiS6.

Cell and atoms, written as CIF:
```
data_U3NiS6
_cell_length_a 10.558
_cell_length_b 12.854
_cell_length_c 6.232
_cell_angle_alpha 90.00
_cell_angle_beta 90.00
_cell_angle_gamma 90.00
_symmetry_space_group_name_H-M 'C m c 21'
_symmetry_Int_Tables_number 36
_symmetry_space_group_name_Hall 'C 2c -2'
loop_
_atom_site_label
_atom_site_type_symbol
_atom_site_fract_x
_atom_site_fract_y
_atom_site_fract_z
_atom_site_occupancy
U1 U 0.000 0.109 0.000 1
U2 U 0.171 0.397 0.098 1
Ni1 Ni 0.000 0.305 0.676 1
S1 S 0.000 0.274 0.304 1
S2 S 0.000 0.467 0.791 1
S3 S 0.163 0.032 0.299 1
S4 S 0.173 0.233 0.818 1
```

Results
Total magnetization (μB per cell): 24.0
E_tot (eV/atom): -7.7067
Calculated density (g/cm³): 7.58
Density of states at the Fermi level (states/eV/cell): 72.02
V (Å³/atom): 21.14
Formation energy from raw total energies (meV/atom): -1266

A plane-wave DFT calculation with PBE was carried out for an optimized crystal structure of UNi2S3.

Cell and atoms, written as CIF:
```
data_UNi2S3
_cell_length_a 5.975
_cell_length_b 3.762
_cell_length_c 10.016
_cell_angle_alpha 90.00
_cell_angle_beta 94.48
_cell_angle_gamma 90.00
_symmetry_space_group_name_H-M 'P 1 21/m 1'
_symmetry_Int_Tables_number 11
_symmetry_space_group_name_Hall '-P 2yb'
loop_
_atom_site_label
_atom_site_type_symbol
_atom_site_fract_x
_atom_site_fract_y
_atom_site_fract_z
_atom_site_occupancy
U1 U 0.150 0.250 0.332 1
Ni1 Ni 0.035 0.750 0.087 1
Ni2 Ni 0.444 0.250 0.579 1
S1 S 0.140 0.750 0.875 1
S2 S 0.239 0.750 0.544 1
S3 S 0.371 0.750 0.214 1
```

Results
Total magnetization (μB per cell): 1.6
E_tot (eV/atom): -6.6887
Calculated density (g/cm³): 6.68
Density of states at the Fermi level (states/eV/cell): 8.88
V (Å³/atom): 18.70
Formation energy from raw total energies (meV/atom): -817

A plane-wave DFT calculation with PBE was carried out for an optimized crystal structure of UNi3S3.

Cell and atoms, written as CIF:
```
data_UNi3S3
_cell_length_a 6.4546
_cell_length_b 6.4546
_cell_length_c 18.5007
_cell_angle_alpha 90.00
_cell_angle_beta 90.00
_cell_angle_gamma 120.00
_symmetry_space_group_name_H-M 'R -3'
_symmetry_Int_Tables_number 148
_symmetry_space_group_name_Hall '-R 3'
loop_
_atom_site_label
_atom_site_type_symbol
_atom_site_fract_x
_atom_site_fract_y
_atom_site_fract_z
_atom_site_occupancy
U1 U 0.0000 0.0000 0.1664 1
Ni1 Ni 0.9998 0.3294 0.7095 1
S1 S 0.0005 0.3312 0.9192 1
```

Results
Total magnetization (μB per cell): 0.3
E_tot (eV/atom): -6.6066
Calculated density (g/cm³): 7.62
Density of states at the Fermi level (states/eV/cell): 49.25
V (Å³/atom): 15.89
Formation energy from raw total energies (meV/atom): -747

Which formula does entry 10 have? UNi3S3